The following is a GGA-PBE calculation of a relaxed structure of MnCoSe2, from Alexandria.

Summary:
**Uncorrected formation energy**: -249 meV per atom

a = 3.6797 Å, b = 3.6797 Å, c = 5.5981 Å
α = 90.00°, β = 90.00°, γ = 120.00°
Fractional positions:
Mn  0.0000  0.0000  0.0000
Co  0.0000  0.0000  0.5000
Se  0.3333  0.6667  0.2710
Se  0.6667  0.3333  0.7290

=====

The following is a GGA-PBE calculation of a relaxed structure of SrGaPd, from Alexandria.

Summary:
**Raw total energy**: -11.49 eV per formula unit

a = 3.5050 Å, b = 3.5050 Å, c = 11.0367 Å
α = 90.00°, β = 90.00°, γ = 90.00°
Fractional positions:
Sr  0.0000  0.0000  0.0000
Sr  0.5000  0.5000  0.5000
Ga  0.0000  0.0000  0.2928
Ga  0.5000  0.5000  0.7928
Pd  0.0000  0.0000  0.7048
Pd  0.5000  0.5000  0.2048

=====

no.,Fermi-level density of states (states/eV per atom)
1,1.034
2,0.624